The following is a GGA-PBE calculation of an optimized crystal structure of KFe4Cl, from Alexandria via LeMat-Bulk.

Geometry as CIF:
```
data_KFe4Cl
_space_group_name_H-M_alt 'F -4 3 m'
_space_group_IT_number 216
_space_group_name_Hall 'F -4 2 3'
_cell_length_a 7.541
_cell_length_b 7.541
_cell_length_c 7.541
_cell_angle_alpha 90.00
_cell_angle_beta 90.00
_cell_angle_gamma 90.00
loop_
_atom_site_label
_atom_site_type_symbol
_atom_site_fract_x
_atom_site_fract_y
_atom_site_fract_z
_atom_site_occupancy
K1 K 0.000 0.000 0.000 1
Fe1 Fe 0.133 0.133 0.367 1
Cl1 Cl 0.250 0.250 0.750 1
```

Output
The formation energy (no corrections) comes out at 73.6 kJ per mole of atoms. The total magnetization is 11.9 μB per formula unit.